Below is a relaxed RbTbNbTe3 crystal, with properties calculated at the PBE level.

abc: 8.7156 8.7156 11.4547
angles: 90.00 90.00 150.89
Last column: magnetic moment on the atom in μB.
Element x y z (fractional)
Rb: 0.2473 0.7527 0.7500  0.00
Rb: 0.7527 0.2473 0.2500  0.00
Te: 0.1254 0.8746 0.4455  0.00
Te: 0.8746 0.1254 0.5545  0.00
Te: 0.1254 0.8746 0.0545  0.00
Te: 0.8746 0.1254 0.9455  0.00
Te: 0.4295 0.5705 0.2500  -0.01
Te: 0.5705 0.4295 0.7500  -0.01
Tb: 0.5000 0.5000 0.5000  0.07
Tb: 0.5000 0.5000 0.0000  0.07
Nb: 0.0316 0.9684 0.2500  1.04
Nb: 0.9684 0.0316 0.7500  1.04

Properties
DFT total energy: -5.008 eV/atom
SG: Cmcm (63)

Below is a relaxed Tb2NdMg3Ir3 crystal, with properties calculated at the PBE level.

abc: 4.0956 7.3184 7.3184
angles: 120.14 90.00 90.00
Element x y z (fractional)
Tb: 0.0000 0.9998 0.4083
Tb: 0.0000 0.4083 0.9998
Nd: 0.0000 0.5879 0.5879
Ir: 0.5000 0.6691 0.3289
Ir: 0.5000 0.3289 0.6691
Ir: 0.0000 0.0044 0.0044
Mg: 0.5000 0.2425 0.2425
Mg: 0.5000 0.7573 0.0020
Mg: 0.5000 0.0020 0.7573

Properties
DFT total energy: -5.675 eV/atom
SG: Amm2 (38)

Below is a relaxed TbZrB4 crystal, with properties calculated at the PBE level.

abc: 3.2245 3.2245 7.4747
angles: 90.00 90.00 120.00
Element x y z (fractional)
B: 0.3333 0.6667 0.7654
B: 0.6667 0.3333 0.2346
B: 0.3333 0.6667 0.2346
B: 0.6667 0.3333 0.7654
Zr: 0.0000 0.0000 0.0000
Tb: 0.0000 0.0000 0.5000

Properties
DFT total energy: -7.422 eV/atom
SG: P6/mmm (191)

Below is a relaxed MgScInFe crystal, with properties calculated at the PBE level.

abc: 4.7181 4.7181 4.7181
angles: 60.00 60.00 60.00
Last column: magnetic moment on the atom in μB.
Element x y z (fractional)
In: 0.0000 0.0000 0.0000  -0.03
Mg: 0.5000 0.5000 0.5000  -0.02
Fe: 0.7500 0.7500 0.7500  2.49
Sc: 0.2500 0.2500 0.2500  -0.17

Properties
relative energy among the computed polymorphs: 0.00 eV per formula unit
SG: F-43m (216)

Below is a relaxed HoHgB crystal, with properties calculated at the PBE level.

abc: 4.3086 4.3086 4.3086
angles: 60.00 60.00 60.00
Element x y z (fractional)
Ho: 0.7500 0.7500 0.7500
Hg: 0.2500 0.2500 0.2500
B: 0.0000 0.0000 0.0000

Properties
DFT total energy: -3.904 eV/atom
SG: F-43m (216)

Below is a relaxed Li4SnAsPd2 crystal, with properties calculated at the PBE level.

abc: 4.3580 4.3580 6.2718
angles: 90.00 90.00 90.00
Element x y z (fractional)
Li: 0.0000 0.0000 0.0000
Li: 0.5000 0.5000 0.5000
Li: 0.5000 0.0000 0.7747
Li: 0.0000 0.5000 0.2253
As: 0.5000 0.5000 0.0000
Sn: 0.0000 0.0000 0.5000
Pd: 0.5000 0.0000 0.2358
Pd: 0.0000 0.5000 0.7642

Properties
DFT total energy: -3.946 eV/atom
SG: P-4m2 (115)

Below is a relaxed RbCuMo crystal, with properties calculated at the PBE level.

abc: 5.0161 5.0161 5.0161
angles: 60.00 60.00 60.00
Last column: magnetic moment on the atom in μB.
Element x y z (fractional)
Cu: 0.0000 0.0000 0.0000  0.06
Mo: 0.2500 0.2500 0.2500  3.42
Rb: 0.7500 0.7500 0.7500  0.03

Properties
relative energy among the computed polymorphs: 0.00 eV per formula unit
SG: F-43m (216)

Below is a relaxed TcPbNO crystal, with properties calculated at the PBE level.

abc: 3.8489 3.8489 8.7895
angles: 90.00 90.00 90.00
Element x y z (fractional)
N: 0.2500 0.2500 0.5821
N: 0.7500 0.7500 0.4179
O: 0.7500 0.2500 0.0000
O: 0.2500 0.7500 0.0000
Pb: 0.2500 0.2500 0.1433
Pb: 0.7500 0.7500 0.8567
Tc: 0.2500 0.7500 0.5000
Tc: 0.7500 0.2500 0.5000

Properties
relative energy among the computed polymorphs: 0.00 eV per formula unit
SG: P4/nmm (129)

Below is a relaxed AgGeSO crystal, with properties calculated at the PBE level.

abc: 6.8586 12.7424 6.4514
angles: 90.00 90.00 90.00
Element x y z (fractional)
Ge: 0.2484 0.0416 0.5517
Ge: 0.2484 0.4584 0.0517
Ge: 0.7484 0.4584 0.4483
Ge: 0.7516 0.9584 0.4483
Ge: 0.7516 0.5416 0.9483
Ge: 0.7484 0.0416 0.9483
Ge: 0.2516 0.9584 0.0517
Ge: 0.2516 0.5416 0.5517
S: 0.0003 0.0569 0.2484
S: 0.5003 0.0569 0.2516
S: 0.9997 0.5569 0.2516
S: 0.4997 0.5569 0.2484
S: 0.0003 0.4431 0.7484
S: 0.4997 0.9431 0.7484
S: 0.5003 0.4431 0.7516
S: 0.9997 0.9431 0.7516
O: 0.7500 0.1692 0.8353
O: 0.7500 0.3308 0.3353
O: 0.2500 0.3308 0.1647
O: 0.7500 0.6692 0.8353
O: 0.2500 0.6692 0.6647
O: 0.7500 0.8308 0.3353
O: 0.2500 0.8308 0.1647
O: 0.2500 0.1692 0.6647
Ag: 0.9714 0.7585 0.0355
Ag: 0.5286 0.2415 0.5355
Ag: 0.0286 0.2585 0.4645
Ag: 0.4714 0.7415 0.9645
Ag: 0.9714 0.7415 0.5355
Ag: 0.0286 0.2415 0.9645
Ag: 0.5286 0.2585 0.0355
Ag: 0.4714 0.7585 0.4645

Properties
relative energy among the computed polymorphs: 0.78 eV per formula unit
SG: Pbca (61)

Below is a relaxed TmCdPb crystal, with properties calculated at the PBE level.

abc: 5.0514 5.0514 5.0514
angles: 60.00 60.00 60.00
Element x y z (fractional)
Cd: 0.2500 0.2500 0.2500
Pb: 0.7500 0.7500 0.7500
Tm: 0.0000 0.0000 0.0000

Properties
DFT total energy: -3.062 eV/atom
SG: F-43m (216)

Below is a relaxed NbSe2S crystal, with properties calculated at the PBE level.

abc: 5.2205 3.4463 9.5562
angles: 90.00 97.42 90.00
Element x y z (fractional)
Se: 0.4329 0.2500 0.6826
Se: 0.9172 0.2500 0.6813
Se: 0.5671 0.7500 0.3174
Se: 0.0828 0.7500 0.3187
S: 0.2388 0.7500 0.9531
S: 0.7612 0.2500 0.0469
Nb: 0.2844 0.2500 0.1498
Nb: 0.7156 0.7500 0.8502

Properties
DFT total energy: -5.981 eV/atom
SG: P2_1/m (11)

Below is a relaxed RbTm2 crystal, with properties calculated at the PBE level.

abc: 12.4011 12.4011 12.4011
angles: 60.00 60.00 60.00
Last column: magnetic moment on the atom in μB.
Element x y z (fractional)
Tm: 0.3750 0.3750 0.8750  0.68
Tm: 0.8750 0.3750 0.3750  0.92
Tm: 0.3750 0.8750 0.3750  0.72
Tm: 0.3750 0.3750 0.3750  0.72
Rb: 0.5000 0.5000 0.5000  0.05
Rb: 0.2500 0.2500 0.2500  0.05

Properties
relative energy among the computed polymorphs: 5.93 eV per formula unit
SG: Fd-3m (227)

Below is a relaxed Ho6AlNi2 crystal, with properties calculated at the PBE level.

abc: 8.2901 8.2901 8.2901
angles: 112.61 109.97 105.90
Element x y z (fractional)
Al: 0.5000 0.5000 0.0000
Al: 0.0000 0.0000 0.0000
Ho: 0.3251 0.0181 0.6930
Ho: 0.0403 0.2366 0.8037
Ho: 0.5671 0.7634 0.8037
Ho: 0.1818 0.7143 0.8962
Ho: 0.9597 0.7634 0.1963
Ho: 0.3251 0.6321 0.3070
Ho: 0.8182 0.7143 0.5325
Ho: 0.8182 0.2857 0.1038
Ho: 0.6749 0.9819 0.3070
Ho: 0.4329 0.2366 0.1963
Ho: 0.6749 0.3679 0.6930
Ho: 0.1818 0.2857 0.4675
Ni: 0.3434 0.0000 0.3434
Ni: 0.8790 0.3790 0.5000
Ni: 0.6566 0.0000 0.6566
Ni: 0.1210 0.6210 0.5000

Properties
DFT total energy: -5.040 eV/atom
SG: Immm (71)

Below is a relaxed ZrTlAgTe3 crystal, with properties calculated at the PBE level.

abc: 15.2693 4.1894 11.3408
angles: 90.00 90.00 90.00
Element x y z (fractional)
Zr: 0.4848 0.7500 0.1806
Zr: 0.9848 0.7500 0.3194
Zr: 0.0152 0.2500 0.6806
Zr: 0.5152 0.2500 0.8194
Te: 0.3913 0.2500 0.6330
Te: 0.6087 0.7500 0.3670
Te: 0.8543 0.2500 0.2682
Te: 0.9085 0.7500 0.5639
Te: 0.3543 0.2500 0.2318
Te: 0.1457 0.7500 0.7318
Te: 0.4085 0.7500 0.9361
Te: 0.1087 0.7500 0.1330
Te: 0.5915 0.2500 0.0639
Te: 0.8913 0.2500 0.8670
Te: 0.6457 0.7500 0.7682
Te: 0.0915 0.2500 0.4361
Tl: 0.2326 0.2500 0.9510
Tl: 0.2674 0.7500 0.4510
Tl: 0.7326 0.2500 0.5490
Tl: 0.7674 0.7500 0.0490
Ag: 0.4841 0.2500 0.4066
Ag: 0.0159 0.7500 0.9066
Ag: 0.9841 0.2500 0.0934
Ag: 0.5159 0.7500 0.5934

Properties
relative energy among the computed polymorphs: 0.01 eV per formula unit
SG: Pnma (62)

Below is a relaxed Li4Tl2IrPd crystal, with properties calculated at the PBE level.

abc: 4.5247 4.5247 6.4206
angles: 90.00 90.00 90.00
Element x y z (fractional)
Li: 0.0000 0.0000 0.5000
Li: 0.5000 0.0000 0.7507
Li: 0.0000 0.5000 0.2493
Li: 0.5000 0.5000 0.0000
Tl: 0.0000 0.5000 0.7567
Tl: 0.5000 0.0000 0.2433
Pd: 0.5000 0.5000 0.5000
Ir: 0.0000 0.0000 0.0000

Properties
DFT total energy: -3.544 eV/atom
SG: P-4m2 (115)

Below is a relaxed OsBr4Cl crystal, with properties calculated at the PBE level.

abc: 6.7125 7.2281 9.7736
angles: 109.66 90.82 115.94
Last column: magnetic moment on the atom in μB.
Element x y z (fractional)
Br: 0.2348 0.1779 0.9579  0.03
Br: 0.4286 0.5624 0.3283  0.18
Br: 0.5714 0.4376 0.6717  0.18
Br: 0.7018 0.9901 0.7512  0.21
Br: 0.2982 0.0099 0.2488  0.21
Br: 0.0731 0.8172 0.5783  0.20
Br: 0.9269 0.1828 0.4217  0.20
Br: 0.7652 0.8221 0.0421  0.03
Os: 0.0984 0.2052 0.2088  1.76
Os: 0.9016 0.7948 0.7912  1.76
Cl: 0.8996 0.3696 0.1541  0.18
Cl: 0.1004 0.6304 0.8459  0.18

Properties
DFT total energy: -3.450 eV/atom
SG: P-1 (2)

Below is a relaxed Cu7Ag3 crystal, with properties calculated at the PBE level.

abc: 6.5775 2.7355 7.8657
angles: 90.00 103.67 90.00
Element x y z (fractional)
Cu: 0.5966 0.5000 0.7972
Cu: 0.4034 0.5000 0.2028
Cu: 0.6823 0.0000 0.0864
Cu: 0.3177 0.0000 0.9136
Cu: 0.5000 0.0000 0.5000
Cu: 0.8766 0.0000 0.6978
Cu: 0.1234 0.0000 0.3022
Ag: 0.2012 0.5000 0.6124
Ag: 0.7988 0.5000 0.3876
Ag: 0.0000 0.5000 0.0000

Properties
energy relative to the elements: 0.084 eV/atom
relative energy among the computed polymorphs: 0.39 eV per formula unit
SG: P2/m (10)

Below is a relaxed UZnCd crystal, with properties calculated at the PBE level.

abc: 4.8998 4.8998 4.8998
angles: 60.00 60.00 60.00
Element x y z (fractional)
Cd: 0.2500 0.2500 0.2500
U: 0.0000 0.0000 0.0000
Zn: 0.7500 0.7500 0.7500

Properties
energy relative to the elements: 0.956 eV/atom
SG: F-43m (216)

Below is a relaxed LaPr2Zr2N6 crystal, with properties calculated at the PBE level.

abc: 10.7565 10.7565 10.7565
angles: 157.89 157.89 31.46
Element x y z (fractional)
N: 0.9212 0.4212 0.5000
N: 0.0788 0.5788 0.5000
N: 0.5788 0.0788 0.5000
N: 0.4212 0.9212 0.5000
N: 0.2974 0.2974 0.0000
N: 0.7026 0.7026 0.0000
La: 0.0000 0.0000 0.0000
Zr: 0.6025 0.6025 0.0000
Zr: 0.3975 0.3975 0.0000
Pr: 0.1850 0.1850 0.0000
Pr: 0.8150 0.8150 0.0000

Properties
DFT total energy: -8.639 eV/atom
SG: I4/mmm (139)

Below is a relaxed Cu2Ag3 crystal, with properties calculated at the PBE level.

abc: 3.9840 10.1394 10.1394
angles: 22.38 90.00 90.00
Element x y z (fractional)
Cu: 0.0000 0.0007 0.0007
Cu: 0.0000 0.1955 0.1955
Cu: 0.0000 0.4050 0.4050
Cu: 0.5000 0.0988 0.0988
Ag: 0.5000 0.3002 0.3002
Ag: 0.0000 0.7997 0.7997
Ag: 0.0000 0.5984 0.5984
Ag: 0.5000 0.5020 0.5020
Ag: 0.5000 0.6957 0.6957
Ag: 0.5000 0.9039 0.9039

Properties
energy relative to the elements: 0.094 eV/atom
relative energy among the computed polymorphs: 0.31 eV per formula unit
SG: Amm2 (38)